# 1
A plane-wave DFT calculation with PBE was carried out for crystalline SbSe2Cl at its relaxed geometry.

As for the uncorrected formation energy: 0.16 eV/f.u. Its offset from the most stable computed form is 349.7 meV/atom.

It has space group P4mm (No. 99), with a = 3.750 Å, b = 3.750 Å, c = 7.561 Å, α = 90.00°, β = 90.00° and γ = 90.00°. Symmetry generates all atoms from Sb at (0.000, 0.000, 0.000), Se at (0.000, 0.000, 0.355), Se at (0.500, 0.500, 0.265) and Cl at (0.500, 0.500, 0.764).

***

# 2
A plane-wave DFT calculation with PBE was carried out for crystalline TaMnPS2 at its relaxed geometry.

As for the uncorrected formation energy: 2.80 eV/f.u. Its offset from the most stable computed form is 443.3 meV/atom.

It has space group P4/mmm (No. 123), with a = 4.371 Å, b = 4.371 Å, c = 4.513 Å, α = 90.00°, β = 90.00° and γ = 90.00°. Symmetry generates all atoms from Ta at (0.000, 0.000, 0.000), Mn at (0.500, 0.500, 0.500), P at (0.500, 0.500, 0.000) and S at (0.000, 0.500, 0.500).

***

# 3
A plane-wave DFT calculation with PBE was carried out for crystalline ScCdH3 at its relaxed geometry.

Its offset from the most stable computed form is 0.0 meV/atom.

It has space group Pm-3m (No. 221), with a = 3.868 Å, b = 3.868 Å, c = 3.868 Å, α = 90.00°, β = 90.00° and γ = 90.00°. Symmetry generates all atoms from Sc at (0.000, 0.000, 0.000), Cd at (0.500, 0.500, 0.500) and H at (0.000, 0.000, 0.500).